Density functional theory data (PBE with a Hubbard U) for crystalline ZrCoO at its relaxed geometry.

abc: 3.384 3.782 6.681
angles: 90.00 90.00 90.00
Fractional positions:
Zr: 0.250 0.250 0.184
Zr: 0.750 0.750 0.816
Co: 0.250 0.750 0.514
Co: 0.750 0.250 0.486
O: 0.250 0.750 0.038
O: 0.750 0.250 0.962

Values from the calculation:
Space group = Pmmn, No. 59
ΔE to the lowest computed polymorph = 127 meV per atom